(1)
Material: Ni6SnB2
Method: DFT, PBE-GGA
State: optimized geometry

The value obtained for the total moment is 0.000 μB per formula unit. As for the total DFT energy (no corrections): -5.93 eV/atom. Its density of states at the Fermi level is 22.7 states/eV per cell. For the energy of formation from the pure elements, the calculation gives -148.2 meV/atom.

The space group is Immm (No. 71) and the conventional cell measures 6.916, 7.353 and 7.644 Å, with angles of 90.00, 90.00 and 90.00 degrees. The inequivalent atoms are Ni at (0.000, 0.228, 0.237), Ni at (0.189, 0.500, 0.178), Ni at (0.197, 0.313, 0.500), Sn at (0.000, 0.000, 0.000), Sn at (0.000, 0.000, 0.500), B at (0.000, 0.366, 0.000) and B at (0.000, 0.500, 0.383).

---

(2)
Material: YInPt2
Method: DFT, PBE-GGA
State: optimized geometry

The value obtained for the total moment is 0.000 μB per formula unit. As for the total DFT energy (no corrections): -6.18 eV/atom. Its density of states at the Fermi level is 1.3 states/eV per cell. For the energy of formation from the pure elements, the calculation gives -855.9 meV/atom.

The space group is P4/mmm (No. 123) and the conventional cell measures 3.489, 3.489 and 6.513 Å, with angles of 90.00, 90.00 and 90.00 degrees. The inequivalent atoms are Y at (0.000, 0.000, 0.000), In at (0.000, 0.000, 0.500) and Pt at (0.500, 0.500, 0.265).

---

(3)
Material: ScCd2Br
Method: DFT, PBE-GGA
State: optimized geometry

The value obtained for the total moment is 0.957 μB per formula unit. As for the total DFT energy (no corrections): -2.31 eV/atom. Its density of states at the Fermi level is 18.3 states/eV per cell. Its energy above the most stable polymorph in this dataset is 0.5956 eV/atom. The formation energy without anion corrections comes out at 149 meV per atom.

The space group is Fm-3m (No. 225) and the conventional cell measures 7.483, 7.483 and 7.483 Å, with angles of 90.00, 90.00 and 90.00 degrees. The inequivalent atoms are Sc at (0.000, 0.000, 0.000), Cd at (0.250, 0.250, 0.250) and Br at (0.000, 0.000, 0.500).

---

(4)
Material: TmPuGe2
Method: DFT, PBE-GGA
State: optimized geometry

The value obtained for the total moment is 5.885 μB per formula unit. As for the total DFT energy (no corrections): -7.62 eV/atom. Its density of states at the Fermi level is 20.3 states/eV per cell. For the energy of formation from the pure elements, the calculation gives -606.7 meV/atom.

The space group is Amm2 (No. 38) and the conventional cell measures 3.921, 4.339 and 10.752 Å, with angles of 90.00, 90.00 and 90.00 degrees. The inequivalent atoms are Tm at (0.000, 0.000, 0.000), Pu at (0.500, 0.000, 0.277), Ge at (0.000, 0.000, 0.719) and Ge at (0.500, 0.000, 0.553).

---

(5)
Material: Sm2YZrP4
Method: DFT, PBE-GGA
State: optimized geometry

The value obtained for the total moment is 0.000 μB per formula unit. As for the total DFT energy (no corrections): -7.29 eV/atom. Its density of states at the Fermi level is 1.5 states/eV per cell. For the energy of formation from the pure elements, the calculation gives -1529.7 meV/atom.

The space group is P2/m (No. 10) and the conventional cell measures 6.893, 3.976 and 6.903 Å, with angles of 90.00, 109.27 and 90.00 degrees. The inequivalent atoms are Sm at (0.000, 0.000, 0.000), Sm at (0.500, 0.500, 0.000), Y at (0.000, 0.500, 0.500), Zr at (0.500, 0.000, 0.500), P at (0.254, 0.000, 0.738) and P at (0.263, 0.500, 0.267).

---

(6)
Material: RbPt5
Method: DFT, PBE-GGA
State: optimized geometry

The value obtained for the total moment is 0.000 μB per formula unit. As for the total DFT energy (no corrections): -4.85 eV/atom. Its density of states at the Fermi level is 33.1 states/eV per cell. For the energy of formation from the pure elements, the calculation gives 341.9 meV/atom.

The space group is F-43m (No. 216) and the conventional cell measures 7.677, 7.677 and 7.677 Å, with angles of 90.00, 90.00 and 90.00 degrees. The inequivalent atoms are Rb at (0.000, 0.000, 0.000), Pt at (0.124, 0.124, 0.624) and Pt at (0.250, 0.250, 0.250).

---

(7)
Material: PuTh2
Method: DFT, PBE-GGA
State: optimized geometry

The value obtained for the total moment is 5.747 μB per formula unit. As for the total DFT energy (no corrections): -9.24 eV/atom. Its density of states at the Fermi level is 96.0 states/eV per cell. Its energy above the most stable polymorph in this dataset is 0.3194 eV/atom. For the energy of formation from the pure elements, the calculation gives 484.9 meV/atom.

The space group is Fd-3m (No. 227, origin choice 2) and the conventional cell measures 9.248, 9.248 and 9.248 Å, with angles of 90.00, 90.00 and 90.00 degrees. The inequivalent atoms are Pu at (0.125, 0.125, 0.125) and Th at (0.000, 0.000, 0.500).

---

(8)
Material: Rb2SrCu2
Method: DFT, PBE-GGA
State: optimized geometry

The value obtained for the total moment is 0.000 μB per formula unit. As for the total DFT energy (no corrections): -2.05 eV/atom. Its density of states at the Fermi level is 1.4 states/eV per cell. Its energy above the most stable polymorph in this dataset is 0.0000 eV/atom. For the energy of formation from the pure elements, the calculation gives 312.1 meV/atom.

The space group is P4/mbm (No. 127) and the conventional cell measures 8.214, 8.214 and 5.658 Å, with angles of 90.00, 90.00 and 90.00 degrees. The inequivalent atoms are Rb at (0.166, 0.334, 0.000), Sr at (0.000, 0.000, 0.500) and Cu at (0.106, 0.606, 0.500).

---

(9)
Material: Nd2Si2Ni15
Method: DFT, PBE-GGA
State: optimized geometry

The value obtained for the total moment is 3.851 μB per formula unit. As for the total DFT energy (no corrections): -5.88 eV/atom. Its density of states at the Fermi level is 77.4 states/eV per cell. The formation energy without anion corrections comes out at -244 meV per atom.

The space group is R-3m (No. 166, hexagonal axes) and the conventional cell measures 8.3445, 8.3445 and 12.2899 Å, with angles of 90.00, 90.00 and 120.00 degrees. The inequivalent atoms are Nd at (0.0000, 0.0000, 0.1520), Si at (0.0000, 0.0000, 0.3995), Ni at (0.0000, 0.2914, 0.5000), Ni at (0.0000, 0.5000, 0.0000) and Ni at (0.0088, 0.5044, 0.3441).

---

(10)
Material: Y2AgRh
Method: DFT, PBE-GGA
State: optimized geometry

The value obtained for the total moment is 0.000 μB per formula unit. As for the total DFT energy (no corrections): -6.37 eV/atom. Its density of states at the Fermi level is 4.3 states/eV per cell. For the energy of formation from the pure elements, the calculation gives -584.1 meV/atom.

The space group is P4/mmm (No. 123) and the conventional cell measures 3.534, 3.534 and 7.130 Å, with angles of 90.00, 90.00 and 90.00 degrees. The inequivalent atoms are Y at (0.000, 0.000, 0.231), Ag at (0.500, 0.500, 0.500) and Rh at (0.500, 0.500, 0.000).

---

(11)
Material: CdHgMo
Method: DFT, PBE-GGA
State: optimized geometry

The value obtained for the total moment is 2.015 μB per formula unit. As for the total DFT energy (no corrections): -3.04 eV/atom. Its density of states at the Fermi level is 4.2 states/eV per cell. Its energy above the most stable polymorph in this dataset is 0.5126 eV/atom. For the energy of formation from the pure elements, the calculation gives 979.7 meV/atom.

The space group is F-43m (No. 216) and the conventional cell measures 6.485, 6.485 and 6.485 Å, with angles of 90.00, 90.00 and 90.00 degrees. The inequivalent atoms are Cd at (0.000, 0.000, 0.000), Hg at (0.250, 0.250, 0.250) and Mo at (0.000, 0.000, 0.500).

---

(12)
Material: SrCr2Os
Method: DFT, PBE-GGA
State: optimized geometry

The value obtained for the total moment is 3.671 μB per formula unit. As for the total DFT energy (no corrections): -6.98 eV/atom. Its density of states at the Fermi level is 22.8 states/eV per cell. Its energy above the most stable polymorph in this dataset is 0.4638 eV/atom. For the energy of formation from the pure elements, the calculation gives 1055.3 meV/atom.

The space group is I4_1/amd (No. 141, origin choice 2) and the conventional cell measures 4.862, 4.862 and 16.353 Å, with angles of 90.00, 90.00 and 90.00 degrees. The inequivalent atoms are Sr at (0.000, 0.250, 0.375), Cr at (0.000, 0.000, 0.000) and Os at (0.000, 0.250, 0.875).

---

What did the eleventh record say?
Material: CdHgMo
Method: DFT, PBE-GGA
State: optimized geometry

The value obtained for the total moment is 2.015 μB per formula unit. As for the total DFT energy (no corrections): -3.04 eV/atom. Its density of states at the Fermi level is 4.2 states/eV per cell. Its energy above the most stable polymorph in this dataset is 0.5126 eV/atom. For the energy of formation from the pure elements, the calculation gives 979.7 meV/atom.

The space group is F-43m (No. 216) and the conventional cell measures 6.485, 6.485 and 6.485 Å, with angles of 90.00, 90.00 and 90.00 degrees. The inequivalent atoms are Cd at (0.000, 0.000, 0.000), Hg at (0.250, 0.250, 0.250) and Mo at (0.000, 0.000, 0.500).

---

Question: Number 12 is which compound?
Answer: SrCr2Os